## Th5Bi3Pd (PBE)

Data for a relaxed structure of Th5Bi3Pd.

Output
As for the space group: No. 193. The density comes out at 11.76 g/cm³. Its electronic total energy is -6.6093 eV per atom. As for the crystal system: hexagonal. The value obtained for the formation energy is -0.617 eV per atom.

Unit cell a=9.6820 b=9.6820 c=6.5859 alpha=90.00 beta=90.00 gamma=120.00
With the nearest neighbours (Å) after each atom.
Sites, in units of the cell vectors:
Th1 0.0000 0.2583 0.2500  2 Pd 2.99, 2 Bi 3.30
Th2 0.0000 0.7417 0.7500  2 Pd 2.99, 2 Bi 3.30
Th3 0.2583 0.0000 0.2500  2 Pd 2.99, 2 Bi 3.30
Th4 0.2583 0.2583 0.7500  2 Pd 2.99, 2 Bi 3.30
Th5 0.3333 0.6667 0.0000  2 Th 3.29, 6 Bi 3.42
Th6 0.3333 0.6667 0.5000  2 Th 3.29, 6 Bi 3.42
Th7 0.6667 0.3333 0.0000  2 Th 3.29, 6 Bi 3.42
Th8 0.6667 0.3333 0.5000  2 Th 3.29, 6 Bi 3.42
Th9 0.7417 0.0000 0.7500  2 Pd 2.99, 2 Bi 3.30
Th10 0.7417 0.7417 0.2500  2 Pd 2.99, 2 Bi 3.30
Bi1 0.0000 0.3867 0.7500  9 Th 3.30-3.52
Bi2 0.0000 0.6133 0.2500  9 Th 3.30-3.52
Bi3 0.3867 0.0000 0.7500  9 Th 3.30-3.52
Bi4 0.3867 0.3867 0.2500  9 Th 3.30-3.52
Bi5 0.6133 0.0000 0.2500  9 Th 3.30-3.52
Bi6 0.6133 0.6133 0.7500  9 Th 3.30-3.52
Pd1 0.0000 0.0000 0.0000  6 Th 2.99, 2 Pd 3.29
Pd2 0.0000 0.0000 0.5000  6 Th 2.99, 2 Pd 3.29